No. 1
A plane-wave DFT calculation with PBE was carried out for crystalline BeTcSbTe2 at its relaxed geometry.

Structure (POSCAR):
```
BeTcSbTe2
1.0
-1.225 -4.897 -1.455
1.540 1.073 -4.907
4.753 -1.533 1.157
Te Be Sb Tc
2 1 1 1
direct
0.000 0.500 0.000
0.500 0.000 0.000
0.500 0.500 0.500
0.000 0.000 0.500
0.000 0.000 0.000
```

* energy relative to the lowest polymorph listed for this composition: 0.0 meV per atom


No. 2
A plane-wave DFT calculation with PBE was carried out for crystalline Zr2BeTcSb at its relaxed geometry.

Structure (POSCAR):
```
Zr2BeTcSb
1.0
-4.601 -0.754 -1.927
-0.850 -2.799 3.124
-1.811 3.741 2.859
Zr Sb Be Tc
2 1 1 1
direct
0.500 0.000 0.000
0.000 0.000 0.500
0.500 0.500 0.500
0.000 0.500 0.000
0.000 0.000 0.000
```


No. 3
A plane-wave DFT calculation with PBE was carried out for crystalline BeSbTe4 at its relaxed geometry.

Structure (POSCAR):
```
BeSbTe4
1.0
4.625 1.690 3.911
-0.738 4.971 3.780
-0.661 -0.834 6.198
Te Sb Be
4 1 1
direct
0.375 0.375 0.875
0.375 0.875 0.375
0.375 0.375 0.375
0.875 0.375 0.375
0.000 0.000 0.000
0.750 0.750 0.750
```


No. 4
A plane-wave DFT calculation with PBE was carried out for crystalline TiBeSbTe2 at its relaxed geometry.

Structure (POSCAR):
```
TiBeSbTe2
1.0
-3.263 3.135 2.719
-0.531 -3.745 3.682
4.150 2.019 2.652
Be Te Ti Sb
1 2 1 1
direct
0.500 0.500 0.500
0.500 0.000 0.000
0.000 0.500 0.000
0.000 0.000 0.000
0.000 0.000 0.500
```

* energy relative to the lowest polymorph listed for this composition: 0.0 meV per atom


No. 5
A plane-wave DFT calculation with PBE was carried out for crystalline TiBeSb2Te at its relaxed geometry.

Structure (POSCAR):
```
TiBeSb2Te
1.0
-0.732 -1.076 -4.639
-1.781 -4.291 1.276
-4.678 2.022 0.269
Sb Be Te Ti
2 1 1 1
direct
0.500 0.000 0.000
0.000 0.500 0.000
0.000 0.000 0.000
0.000 0.000 0.500
0.500 0.500 0.500
```

* energy relative to the lowest polymorph listed for this composition: 0.0 meV per atom


No. 6
A plane-wave DFT calculation with PBE was carried out for crystalline TiBeSb2Te at its relaxed geometry.

Structure (POSCAR):
```
TiBeSb2Te
1.0
-2.935 3.533 -2.588
0.147 -3.034 -4.309
-4.356 -2.458 1.583
Ti Sb Te Be
1 2 1 1
direct
0.000 0.000 0.000
0.000 0.500 0.000
0.500 0.000 0.000
0.000 0.000 0.500
0.500 0.500 0.500
```

* energy relative to the lowest polymorph listed for this composition: 10.9 meV per atom


Calculated values (states/eV/f.u.) of N(E_F) for the records, taken in order: 7.060; 4.715; 5.070; 3.782; 7.598; 4.534.
Calculated values (eV/f.u.) of ΔE_f (raw) for the records, taken in order: 4.9; 1.6; 5.3; 2.8; 3.1; 3.1.